Computed, not measured: a relaxed Y3Mg2Hg crystal at the PBE level of DFT.

Values from the calculation:
The total DFT energy (no corrections) comes out at -4.059 eV per atom. The value obtained for the total magnetic moment is 0.00 μB/f.u. Its volume is 161.0 Å³ per cell. Its formation energy is -0.245 eV/atom.

Structure (CIF):
```
data_Y3Mg2Hg
_cell_length_a 3.798
_cell_length_b 3.798
_cell_length_c 11.162
_cell_angle_alpha 90.00
_cell_angle_beta 90.00
_cell_angle_gamma 90.00
_symmetry_space_group_name_H-M 'P 4/m m m'
_symmetry_Int_Tables_number 123
_symmetry_space_group_name_Hall '-P 4 2'
loop_
_atom_site_label
_atom_site_type_symbol
_atom_site_fract_x
_atom_site_fract_y
_atom_site_fract_z
Y1 Y 0.000 0.000 0.000
Y2 Y 0.000 0.000 0.338
Mg1 Mg 0.500 0.500 0.166
Hg1 Hg 0.500 0.500 0.500
```

---

Computed, not measured: a relaxed Dy2ThCu crystal at the PBE level of DFT.

Values from the calculation:
The total DFT energy (no corrections) comes out at -5.273 eV per atom. The value obtained for the total magnetic moment is 0.00 μB/f.u. Its volume is 104.3 Å³ per cell. The calculation puts the energy relative to the lowest polymorph listed for this composition at 0.0000 eV/atom. Its formation energy is -0.093 eV/atom.

Structure (CIF):
```
data_Dy2ThCu
_cell_length_a 3.534
_cell_length_b 3.534
_cell_length_c 8.354
_cell_angle_alpha 90.00
_cell_angle_beta 90.00
_cell_angle_gamma 90.00
_symmetry_space_group_name_H-M 'P 4/m m m'
_symmetry_Int_Tables_number 123
_symmetry_space_group_name_Hall '-P 4 2'
loop_
_atom_site_label
_atom_site_type_symbol
_atom_site_fract_x
_atom_site_fract_y
_atom_site_fract_z
Dy1 Dy 0.000 0.000 0.203
Th1 Th 0.500 0.500 0.500
Cu1 Cu 0.500 0.500 0.000
```

---

Computed, not measured: a relaxed BiIF crystal at the PBE level of DFT.

Values from the calculation:
The total DFT energy (no corrections) comes out at -3.375 eV per atom. The value obtained for the total magnetic moment is 0.00 μB/f.u. The formation energy without anion corrections comes out at -0.941 eV per atom. Its volume is 357.8 Å³ per cell. The calculation puts the energy relative to the lowest polymorph listed for this composition at 0.2020 eV/atom.

Structure (CIF):
```
data_BiIF
_cell_length_a 20.041
_cell_length_b 4.228
_cell_length_c 4.222
_cell_angle_alpha 90.00
_cell_angle_beta 90.00
_cell_angle_gamma 90.00
_symmetry_space_group_name_H-M 'P n m a'
_symmetry_Int_Tables_number 62
loop_
_symmetry_equiv_pos_as_xyz
'x,y,z'
'-x,-y,-z'
'-x+1/2,-y,z+1/2'
'x+1/2,y,-z+1/2'
'x+1/2,-y+1/2,-z+1/2'
'-x+1/2,y+1/2,z+1/2'
'-x,y+1/2,-z'
'x,-y+1/2,z'
loop_
_atom_site_label
_atom_site_type_symbol
_atom_site_fract_x
_atom_site_fract_y
_atom_site_fract_z
Bi1 Bi 0.177 0.250 0.019
I1 I 0.101 0.750 0.520
F1 F 0.250 0.250 0.519
```

---

Computed, not measured: a relaxed Ba4Bi2Br crystal at the PBE level of DFT.

Values from the calculation:
The total DFT energy (no corrections) comes out at -3.564 eV per atom. The value obtained for the total magnetic moment is 0.84 μB/f.u. The formation energy without anion corrections comes out at -1.117 eV per atom. Its volume is 1217.4 Å³ per cell.

Structure (CIF):
```
data_Ba4Bi2Br
_cell_length_a 10.482
_cell_length_b 10.482
_cell_length_c 11.079
_cell_angle_alpha 90.00
_cell_angle_beta 90.00
_cell_angle_gamma 90.00
_symmetry_space_group_name_H-M 'I -4 2 d'
_symmetry_Int_Tables_number 122
_symmetry_space_group_name_Hall 'I -4 2bw'
loop_
_atom_site_label
_atom_site_type_symbol
_atom_site_fract_x
_atom_site_fract_y
_atom_site_fract_z
Ba1 Ba 0.076 0.688 0.434
Bi1 Bi 0.129 0.750 0.125
Br1 Br 0.000 0.000 0.500
```

---

Computed, not measured: a relaxed CsNb3Si crystal at the PBE level of DFT.

Values from the calculation:
The total DFT energy (no corrections) comes out at -5.994 eV per atom. The value obtained for the total magnetic moment is 0.00 μB/f.u. The formation energy without anion corrections comes out at 1.303 eV per atom. Its volume is 119.2 Å³ per cell. The calculation puts the energy relative to the lowest polymorph listed for this composition at 0.0000 eV/atom.

Structure (CIF):
```
data_CsNb3Si
_cell_length_a 4.922
_cell_length_b 4.922
_cell_length_c 4.922
_cell_angle_alpha 90.00
_cell_angle_beta 90.00
_cell_angle_gamma 90.00
_symmetry_space_group_name_H-M 'P m -3 m'
_symmetry_Int_Tables_number 221
_symmetry_space_group_name_Hall '-P 4 2 3'
loop_
_atom_site_label
_atom_site_type_symbol
_atom_site_fract_x
_atom_site_fract_y
_atom_site_fract_z
Cs1 Cs 0.000 0.000 0.000
Nb1 Nb 0.000 0.500 0.500
Si1 Si 0.500 0.500 0.500
```

---

Computed, not measured: a relaxed Tb4NdDy10 crystal at the PBE level of DFT.

Values from the calculation:
The total DFT energy (no corrections) comes out at -4.154 eV per atom. The value obtained for the total magnetic moment is 0.00 μB/f.u. Its volume is 1035.8 Å³ per cell. Its formation energy is 0.467 eV/atom.

Structure (CIF):
```
data_Tb4NdDy10
_cell_length_a 9.794
_cell_length_b 9.794
_cell_length_c 10.797
_cell_angle_alpha 90.00
_cell_angle_beta 90.00
_cell_angle_gamma 90.00
_symmetry_space_group_name_H-M 'I 4/m'
_symmetry_Int_Tables_number 87
_symmetry_space_group_name_Hall '-I 4'
loop_
_atom_site_label
_atom_site_type_symbol
_atom_site_fract_x
_atom_site_fract_y
_atom_site_fract_z
Tb1 Tb 0.054 0.288 0.000
Nd1 Nd 0.000 0.000 0.500
Dy1 Dy 0.000 0.500 0.250
Dy2 Dy 0.122 0.220 0.331
```

---

Computed, not measured: a relaxed Ta2CoCu crystal at the PBE level of DFT.

Values from the calculation:
The total DFT energy (no corrections) comes out at -8.421 eV per atom. The value obtained for the total magnetic moment is 1.96 μB/f.u. Its volume is 239.9 Å³ per cell. Its formation energy is 0.306 eV/atom.

Structure (CIF):
```
data_Ta2CoCu
_cell_length_a 6.214
_cell_length_b 6.214
_cell_length_c 6.214
_cell_angle_alpha 90.00
_cell_angle_beta 90.00
_cell_angle_gamma 90.00
_symmetry_space_group_name_H-M 'F -4 3 m'
_symmetry_Int_Tables_number 216
_symmetry_space_group_name_Hall 'F -4 2 3'
loop_
_atom_site_label
_atom_site_type_symbol
_atom_site_fract_x
_atom_site_fract_y
_atom_site_fract_z
Ta1 Ta 0.000 0.000 0.000
Ta2 Ta 0.250 0.250 0.250
Co1 Co 0.250 0.250 0.750
Cu1 Cu 0.000 0.000 0.500
```

---

Computed, not measured: a relaxed LaPuRuRh crystal at the PBE level of DFT.

Values from the calculation:
The total DFT energy (no corrections) comes out at -9.236 eV per atom. The value obtained for the total magnetic moment is 4.65 μB/f.u. Its volume is 339.4 Å³ per cell. Its formation energy is -0.264 eV/atom.

Structure (CIF):
```
data_LaPuRuRh
_cell_length_a 6.976
_cell_length_b 6.976
_cell_length_c 6.976
_cell_angle_alpha 90.00
_cell_angle_beta 90.00
_cell_angle_gamma 90.00
_symmetry_space_group_name_H-M 'F -4 3 m'
_symmetry_Int_Tables_number 216
_symmetry_space_group_name_Hall 'F -4 2 3'
loop_
_atom_site_label
_atom_site_type_symbol
_atom_site_fract_x
_atom_site_fract_y
_atom_site_fract_z
La1 La 0.000 0.000 0.000
Pu1 Pu 0.000 0.000 0.500
Ru1 Ru 0.250 0.250 0.250
Rh1 Rh 0.250 0.250 0.750
```

---

Computed, not measured: a relaxed NaSbTeN2 crystal at the PBE level of DFT.

Values from the calculation:
The total DFT energy (no corrections) comes out at -3.281 eV per atom. The value obtained for the total magnetic moment is 4.19 μB/f.u. The formation energy without anion corrections comes out at 1.766 eV per atom. Its volume is 122.3 Å³ per cell. The calculation puts the energy relative to the lowest polymorph listed for this composition at 0.8086 eV/atom.

Structure (CIF):
```
data_NaSbTeN2
_cell_length_a 4.521
_cell_length_b 4.521
_cell_length_c 5.983
_cell_angle_alpha 90.00
_cell_angle_beta 90.00
_cell_angle_gamma 90.00
_symmetry_space_group_name_H-M 'P 4/m m m'
_symmetry_Int_Tables_number 123
_symmetry_space_group_name_Hall '-P 4 2'
loop_
_atom_site_label
_atom_site_type_symbol
_atom_site_fract_x
_atom_site_fract_y
_atom_site_fract_z
Na1 Na 0.000 0.000 0.000
Sb1 Sb 0.500 0.500 0.500
Te1 Te 0.000 0.000 0.500
N1 N 0.000 0.500 0.000
```

---

Computed, not measured: a relaxed Mo2AsPt crystal at the PBE level of DFT.

Values from the calculation:
The total DFT energy (no corrections) comes out at -7.985 eV per atom. The value obtained for the total magnetic moment is 0.00 μB/f.u. Its volume is 193.9 Å³ per cell. Its formation energy is 0.104 eV/atom.

Structure (CIF):
```
data_Mo2AsPt
_cell_length_a 2.9033
_cell_length_b 2.9033
_cell_length_c 26.5562
_cell_angle_alpha 90.00
_cell_angle_beta 90.00
_cell_angle_gamma 120.00
_symmetry_space_group_name_H-M 'R 3 m'
_symmetry_Int_Tables_number 160
_symmetry_space_group_name_Hall 'R 3 -2"'
loop_
_atom_site_label
_atom_site_type_symbol
_atom_site_fract_x
_atom_site_fract_y
_atom_site_fract_z
Mo1 Mo 0.0000 0.0000 0.0000
Mo2 Mo 0.0000 0.0000 0.2476
As1 As 0.0000 0.0000 0.5059
Pt1 Pt 0.0000 0.0000 0.7491
```

---

Computed, not measured: a relaxed MnIr3Rh6 crystal at the PBE level of DFT.

Values from the calculation:
The total DFT energy (no corrections) comes out at -7.745 eV per atom. The value obtained for the total magnetic moment is 2.66 μB/f.u. Its volume is 147.6 Å³ per cell. Its formation energy is 0.241 eV/atom.

Structure (CIF):
```
data_MnIr3Rh6
_cell_length_a 4.9791
_cell_length_b 4.9791
_cell_length_c 6.8760
_cell_angle_alpha 90.00
_cell_angle_beta 90.00
_cell_angle_gamma 120.00
_symmetry_space_group_name_H-M 'P -3 1 m'
_symmetry_Int_Tables_number 162
_symmetry_space_group_name_Hall '-P 3 2'
loop_
_atom_site_label
_atom_site_type_symbol
_atom_site_fract_x
_atom_site_fract_y
_atom_site_fract_z
Mn1 Mn 0.0000 0.0000 0.0000
Ir1 Ir 0.0000 0.0000 0.5000
Ir2 Ir 0.3333 0.6667 0.5000
Rh1 Rh 0.0000 0.3985 0.8121
```

---

Computed, not measured: a relaxed NaCe2Ge4Pt3 crystal at the PBE level of DFT.

Values from the calculation:
The total DFT energy (no corrections) comes out at -5.696 eV per atom. The value obtained for the total magnetic moment is 1.02 μB/f.u. Its volume is 199.0 Å³ per cell. Its formation energy is -0.718 eV/atom.

Structure (CIF):
```
data_NaCe2Ge4Pt3
_cell_length_a 4.339
_cell_length_b 4.339
_cell_length_c 10.568
_cell_angle_alpha 90.00
_cell_angle_beta 90.00
_cell_angle_gamma 90.00
_symmetry_space_group_name_H-M 'P -4 m 2'
_symmetry_Int_Tables_number 115
loop_
_symmetry_equiv_pos_as_xyz
'x,y,z'
'y,-x,-z'
'-x,-y,z'
'-y,x,-z'
'-x,y,z'
'-y,-x,-z'
'x,-y,z'
'y,x,-z'
loop_
_atom_site_label
_atom_site_type_symbol
_atom_site_fract_x
_atom_site_fract_y
_atom_site_fract_z
Na1 Na 0.000 0.000 0.000
Ce1 Ce 0.000 0.500 0.744
Ge1 Ge 0.000 0.000 0.500
Ge2 Ge 0.000 0.500 0.146
Ge3 Ge 0.500 0.500 0.500
Pt1 Pt 0.000 0.500 0.379
Pt2 Pt 0.500 0.500 0.000
```